[1]
Density functional theory data (PBE) for a relaxed NaCr2ReW crystal.

Unit cell a=4.2032 b=4.6826 c=4.2032 alpha=90.00 beta=90.00 gamma=90.00
Each line ends with the local moment (μB).
Fractional coordinates of all 5 atoms:
Cr: 0.5000 0.0000 0.0000  3.02
W: 0.5000 0.5000 0.5000  -0.40
Na: 0.0000 0.0000 0.0000  0.11
Cr: 0.0000 0.0000 0.5000  3.06
Re: 0.0000 0.5000 0.0000  -0.29

E_tot (eV/cell): -33.62
Calculated density (g/cm3): 9.98
SG: P4/mmm

***

[2]
Density functional theory data (PBE) for a relaxed NaCr2Rh2 crystal.

Unit cell a=7.4800 b=7.4800 c=2.6578 alpha=90.00 beta=90.00 gamma=90.00
Fractional coordinates of all 10 atoms:
Cr: 0.3908 0.8908 0.0000
Rh: 0.3277 0.1723 0.5000
Cr: 0.6092 0.1092 0.0000
Na: 0.0000 0.0000 0.0000
Rh: 0.6723 0.8277 0.5000
Na: 0.5000 0.5000 0.0000
Cr: 0.8908 0.6092 0.0000
Cr: 0.1092 0.3908 0.0000
Rh: 0.8277 0.3277 0.5000
Rh: 0.1723 0.6723 0.5000

E_tot (eV/cell): -68.78
Calculated density (g/cm3): 7.43
SG: P4/mbm

***

[3]
Density functional theory data (PBE) for a relaxed NaCrRh3 crystal.

Unit cell a=4.5106 b=4.5106 c=4.5106 alpha=90.00 beta=90.00 gamma=90.00
Fractional coordinates of all 5 atoms:
Rh: 0.5000 0.0000 0.0000
Cr: 0.0000 0.0000 0.0000
Rh: 0.0000 0.0000 0.5000
Rh: 0.0000 0.5000 0.0000
Na: 0.5000 0.5000 0.5000

E_tot (eV/cell): -29.84
Calculated density (g/cm3): 6.94
SG: Pm-3m